Entry 1:
This record from Alexandria describes a geometry-optimized RbCaI2O structure. The functional is GGA-PBE.

Computed properties:
Total magnetic moment = 1.004 μB per formula unit
Uncorrected formation energy = -1388 meV/atom
ΔE to the lowest computed polymorph = 0.0 meV per atom
Crystal system = tetragonal

Unit cell a=6.3838 b=6.3838 c=4.5000 alpha=90.00 beta=90.00 gamma=90.00
Sites, in units of the cell vectors:
Rb1 0.0000 0.0000 0.0000
Ca1 0.5000 0.5000 0.5000
I1 0.0000 0.5000 0.5000
I2 0.5000 0.0000 0.5000
O1 0.5000 0.5000 0.0000



Entry 2:
This record from Alexandria describes a geometry-optimized Rb3Ca2IO6 structure. The functional is GGA-PBE.

Computed properties:
Total magnetic moment = 0.000 μB per formula unit
Uncorrected formation energy = -1635 meV/atom
Crystal system = monoclinic

Unit cell a=6.0825 b=6.0825 c=6.8082 alpha=98.56 beta=98.56 gamma=119.98
Sites, in units of the cell vectors:
Rb1 0.0000 0.0000 0.0000
Rb2 0.3311 0.6689 0.0000
Rb3 0.6689 0.3311 0.0000
Ca1 0.1666 0.8334 0.5000
Ca2 0.8334 0.1666 0.5000
I1 0.5000 0.5000 0.5000
O1 0.1377 0.4401 0.3212
O2 0.2580 0.2580 0.6809
O3 0.4401 0.1377 0.3212
O4 0.5599 0.8623 0.6788
O5 0.7420 0.7420 0.3191
O6 0.8623 0.5599 0.6788



Entry 3:
This record from Alexandria describes a geometry-optimized Rb2CaI6O structure. The functional is GGA-PBE.

Computed properties:
Total magnetic moment = 0.000 μB per formula unit
Uncorrected formation energy = -799 meV/atom
Crystal system = tetragonal

Unit cell a=8.8043 b=8.8043 c=8.8043 alpha=126.73 beta=126.73 gamma=78.69
Sites, in units of the cell vectors:
Rb1 0.2500 0.7500 0.5000
Rb2 0.7500 0.2500 0.5000
Ca1 0.0000 0.0000 0.0000
I1 0.2232 0.2232 0.0000
I2 0.2819 0.2819 0.5639
I3 0.2819 0.7181 0.0000
I4 0.7181 0.2819 0.0000
I5 0.7181 0.7181 0.4361
I6 0.7768 0.7768 0.0000
O1 0.5000 0.5000 0.0000



Entry 4:
This record from Alexandria describes a geometry-optimized RbCaIO2 structure. The functional is GGA-PBE.

Computed properties:
Total magnetic moment = 1.998 μB per formula unit
Uncorrected formation energy = -973 meV/atom
ΔE to the lowest computed polymorph = 13.2 meV per atom
Crystal system = tetragonal

Unit cell a=4.7074 b=4.7074 c=9.8361 alpha=90.00 beta=90.00 gamma=90.00
Sites, in units of the cell vectors:
Rb1 0.0000 0.0000 0.0000
Ca1 0.0000 0.0000 0.5000
I1 0.5000 0.5000 0.0000
O1 0.0000 0.5000 0.5000
O2 0.5000 0.0000 0.5000



Entry 5:
This record from Alexandria describes a geometry-optimized CaReIO4 structure. The functional is GGA-PBE.

Computed properties:
Total magnetic moment = 0.000 μB per formula unit
Uncorrected formation energy = -1928 meV/atom
Crystal system = monoclinic

Unit cell a=6.6352 b=6.6352 c=9.7787 alpha=112.07 beta=112.07 gamma=67.67
Sites, in units of the cell vectors:
Ca1 0.1999 0.1999 0.2080
Ca2 0.8001 0.8001 0.7920
Re1 0.3895 0.3895 0.6809
Re2 0.6105 0.6105 0.3191
I1 0.1096 0.1096 0.8623
I2 0.8904 0.8904 0.1377
O1 0.1502 0.5359 0.7500
O2 0.3048 0.3048 0.4798
O3 0.4342 0.4342 0.2565
O4 0.4641 0.8498 0.2500
O5 0.5359 0.1502 0.7500
O6 0.5658 0.5658 0.7435
O7 0.6952 0.6952 0.5202
O8 0.8498 0.4641 0.2500



Entry 6:
This record from Alexandria describes a geometry-optimized CaRuIO2 structure. The functional is GGA-PBE.

Computed properties:
Total magnetic moment = 4.826 μB per formula unit
Uncorrected formation energy = 93 meV/atom
ΔE to the lowest computed polymorph = 797.9 meV per atom
Crystal system = tetragonal

Unit cell a=4.3120 b=4.3120 c=6.2557 alpha=90.00 beta=90.00 gamma=90.00
Sites, in units of the cell vectors:
Ca1 0.0000 0.0000 0.0000
Ru1 0.5000 0.5000 0.5000
I1 0.0000 0.0000 0.5000
O1 0.0000 0.5000 0.0000
O2 0.5000 0.0000 0.0000



Entry 7:
This record from Alexandria describes a geometry-optimized CaRuIO2 structure. The functional is GGA-PBE.

Computed properties:
Total magnetic moment = 1.769 μB per formula unit
Uncorrected formation energy = -705 meV/atom
ΔE to the lowest computed polymorph = 0.0 meV per atom
Crystal system = tetragonal

Unit cell a=4.1225 b=4.1225 c=5.4044 alpha=90.00 beta=90.00 gamma=90.00
Sites, in units of the cell vectors:
Ca1 0.0000 0.0000 0.0000
Ru1 0.5000 0.5000 0.5000
I1 0.5000 0.5000 0.0000
O1 0.0000 0.5000 0.5000
O2 0.5000 0.0000 0.5000



Entry 8:
This record from Alexandria describes a geometry-optimized CaSbIO6 structure. The functional is GGA-PBE.

Computed properties:
Total magnetic moment = 0.000 μB per formula unit
Uncorrected formation energy = -1354 meV/atom
Crystal system = trigonal

Unit cell a=5.4794 b=5.4794 c=10.0915 alpha=90.00 beta=90.00 gamma=120.00
Sites, in units of the cell vectors:
Ca1 0.0000 0.0000 0.0000
Ca2 0.0000 0.0000 0.5000
Sb1 0.3333 0.6667 0.2500
Sb2 0.6667 0.3333 0.7500
I1 0.3333 0.6667 0.7500
I2 0.6667 0.3333 0.2500
O1 0.0148 0.3716 0.1394
O2 0.0148 0.6432 0.3606
O3 0.3568 0.3716 0.3606
O4 0.3568 0.9852 0.1394
O5 0.3716 0.0148 0.6394
O6 0.3716 0.3568 0.8606
O7 0.6284 0.6432 0.1394
O8 0.6284 0.9852 0.3606
O9 0.6432 0.0148 0.8606
O10 0.6432 0.6284 0.6394
O11 0.9852 0.3568 0.6394
O12 0.9852 0.6284 0.8606



Entry 9:
This record from Alexandria describes a geometry-optimized CaSb2IO structure. The functional is GGA-PBE.

Computed properties:
Total magnetic moment = 0.000 μB per formula unit
Uncorrected formation energy = 857 meV/atom
ΔE to the lowest computed polymorph = 1403.9 meV per atom
Crystal system = tetragonal

Unit cell a=5.9053 b=5.9053 c=5.7071 alpha=90.00 beta=90.00 gamma=90.00
Sites, in units of the cell vectors:
Ca1 0.0000 0.0000 0.0000
Sb1 0.0000 0.5000 0.0000
Sb2 0.5000 0.0000 0.0000
I1 0.0000 0.0000 0.5000
O1 0.5000 0.5000 0.5000



Entry 10:
This record from Alexandria describes a geometry-optimized CaSbIO2 structure. The functional is GGA-PBE.

Computed properties:
Total magnetic moment = 0.000 μB per formula unit
Uncorrected formation energy = -866 meV/atom
Crystal system = tetragonal

Unit cell a=4.3182 b=4.3182 c=6.0882 alpha=90.00 beta=90.00 gamma=90.00
Sites, in units of the cell vectors:
Ca1 0.0000 0.0000 0.0000
Sb1 0.5000 0.5000 0.5000
I1 0.5000 0.5000 0.0000
O1 0.0000 0.5000 0.5000
O2 0.5000 0.0000 0.5000



Entry 11:
This record from Alexandria describes a geometry-optimized CaSb2IO structure. The functional is GGA-PBE.

Computed properties:
Total magnetic moment = 0.000 μB per formula unit
Uncorrected formation energy = -547 meV/atom
ΔE to the lowest computed polymorph = 0.0 meV per atom
Crystal system = tetragonal

Unit cell a=4.5439 b=4.5439 c=6.7298 alpha=90.00 beta=90.00 gamma=90.00
Sites, in units of the cell vectors:
Ca1 0.0000 0.0000 0.0000
Sb1 0.0000 0.5000 0.5000
Sb2 0.5000 0.0000 0.5000
I1 0.5000 0.5000 0.0000
O1 0.5000 0.5000 0.5000



Entry 12:
This record from Alexandria describes a geometry-optimized CaSbIO2 structure. The functional is GGA-PBE.

Computed properties:
Total magnetic moment = 0.000 μB per formula unit
Uncorrected formation energy = -365 meV/atom
Crystal system = tetragonal

Unit cell a=4.4855 b=4.4855 c=5.9194 alpha=90.00 beta=90.00 gamma=90.00
Sites, in units of the cell vectors:
Ca1 0.0000 0.0000 0.0000
Sb1 0.5000 0.5000 0.5000
I1 0.0000 0.0000 0.5000
O1 0.0000 0.5000 0.0000
O2 0.5000 0.0000 0.0000



Entry 13:
This record from Alexandria describes a geometry-optimized CaScIO6 structure. The functional is GGA-PBE.

Computed properties:
Total magnetic moment = 0.000 μB per formula unit
Uncorrected formation energy = -1909 meV/atom
Crystal system = trigonal

Unit cell a=5.3642 b=5.3642 c=9.9372 alpha=90.00 beta=90.00 gamma=120.00
Sites, in units of the cell vectors:
Ca1 0.0000 0.0000 0.0000
Ca2 0.0000 0.0000 0.5000
Sc1 0.3333 0.6667 0.2500
Sc2 0.6667 0.3333 0.7500
I1 0.3333 0.6667 0.7500
I2 0.6667 0.3333 0.2500
O1 0.0307 0.3834 0.6420
O2 0.0307 0.6473 0.8580
O3 0.3527 0.3834 0.8580
O4 0.3527 0.9693 0.6420
O5 0.3834 0.0307 0.1420
O6 0.3834 0.3527 0.3580
O7 0.6166 0.6473 0.6420
O8 0.6166 0.9693 0.8580
O9 0.6473 0.0307 0.3580
O10 0.6473 0.6166 0.1420
O11 0.9693 0.3527 0.1420
O12 0.9693 0.6166 0.3580



Entry 14:
This record from Alexandria describes a geometry-optimized CaSeI2O structure. The functional is GGA-PBE.

Computed properties:
Total magnetic moment = 0.011 μB per formula unit
Uncorrected formation energy = -285 meV/atom
ΔE to the lowest computed polymorph = 199.7 meV per atom
Crystal system = tetragonal

Unit cell a=6.1149 b=6.1149 c=4.1269 alpha=90.00 beta=90.00 gamma=90.00
Sites, in units of the cell vectors:
Ca1 0.0000 0.0000 0.0000
Se1 0.5000 0.5000 0.5000
I1 0.0000 0.5000 0.0000
I2 0.5000 0.0000 0.0000
O1 0.0000 0.0000 0.5000



Entry 15:
This record from Alexandria describes a geometry-optimized CaSeIO2 structure. The functional is GGA-PBE.

Computed properties:
Total magnetic moment = 2.387 μB per formula unit
Uncorrected formation energy = -333 meV/atom
ΔE to the lowest computed polymorph = 190.2 meV per atom
Crystal system = tetragonal

Unit cell a=4.3658 b=4.3658 c=7.2096 alpha=90.00 beta=90.00 gamma=90.00
Sites, in units of the cell vectors:
Ca1 0.0000 0.0000 0.0000
Se1 0.5000 0.5000 0.5000
I1 0.0000 0.0000 0.5000
O1 0.0000 0.5000 0.0000
O2 0.5000 0.0000 0.0000



Entry 16:
This record from Alexandria describes a geometry-optimized CaSeIO2 structure. The functional is GGA-PBE.

Computed properties:
Total magnetic moment = 0.000 μB per formula unit
Uncorrected formation energy = -523 meV/atom
ΔE to the lowest computed polymorph = 0.0 meV per atom
Crystal system = tetragonal

Unit cell a=4.2518 b=4.2518 c=5.5102 alpha=90.00 beta=90.00 gamma=90.00
Sites, in units of the cell vectors:
Ca1 0.0000 0.0000 0.0000
Se1 0.5000 0.5000 0.5000
I1 0.5000 0.5000 0.0000
O1 0.0000 0.5000 0.5000
O2 0.5000 0.0000 0.5000



Entry 17:
This record from Alexandria describes a geometry-optimized CaSeI2O structure. The functional is GGA-PBE.

Computed properties:
Total magnetic moment = 0.000 μB per formula unit
Uncorrected formation energy = -485 meV/atom
ΔE to the lowest computed polymorph = 0.0 meV per atom
Crystal system = tetragonal

Unit cell a=5.9537 b=5.9537 c=3.9416 alpha=90.00 beta=90.00 gamma=90.00
Sites, in units of the cell vectors:
Ca1 0.0000 0.0000 0.0000
Se1 0.5000 0.5000 0.5000
I1 0.0000 0.5000 0.5000
I2 0.5000 0.0000 0.5000
O1 0.5000 0.5000 0.0000



Entry 18:
This record from Alexandria describes a geometry-optimized CaSeIO4 structure. The functional is GGA-PBE.

Computed properties:
Total magnetic moment = 0.000 μB per formula unit
Uncorrected formation energy = -1304 meV/atom
Crystal system = monoclinic

Unit cell a=6.8634 b=6.8634 c=6.8832 alpha=100.13 beta=100.13 gamma=57.24
Sites, in units of the cell vectors:
Ca1 0.1986 0.1986 0.3185
Ca2 0.8014 0.8014 0.6815
Se1 0.1376 0.1376 0.7523
Se2 0.8624 0.8624 0.2477
I1 0.4673 0.4673 0.8029
I2 0.5327 0.5327 0.1971
O1 0.0010 0.0010 0.2642
O2 0.0197 0.6222 0.3735
O3 0.2046 0.2046 0.9873
O4 0.3778 0.9803 0.6265
O5 0.6222 0.0197 0.3735
O6 0.7954 0.7954 0.0127
O7 0.9803 0.3778 0.6265
O8 0.9990 0.9990 0.7358



Entry 19:
This record from Alexandria describes a geometry-optimized CaSiI2O structure. The functional is GGA-PBE.

Computed properties:
Total magnetic moment = 0.000 μB per formula unit
Uncorrected formation energy = -287 meV/atom
ΔE to the lowest computed polymorph = 537.9 meV per atom
Crystal system = tetragonal

Unit cell a=6.0673 b=6.0673 c=4.1113 alpha=90.00 beta=90.00 gamma=90.00
Sites, in units of the cell vectors:
Ca1 0.0000 0.0000 0.0000
Si1 0.5000 0.5000 0.5000
I1 0.0000 0.5000 0.0000
I2 0.5000 0.0000 0.0000
O1 0.0000 0.0000 0.5000



Entry 20:
This record from Alexandria describes a geometry-optimized CaSiI2O structure. The functional is GGA-PBE.

Computed properties:
Total magnetic moment = 0.239 μB per formula unit
Uncorrected formation energy = -825 meV/atom
ΔE to the lowest computed polymorph = 0.0 meV per atom
Crystal system = tetragonal

Unit cell a=5.9458 b=5.9458 c=3.6647 alpha=90.00 beta=90.00 gamma=90.00
Sites, in units of the cell vectors:
Ca1 0.0000 0.0000 0.0000
Si1 0.5000 0.5000 0.5000
I1 0.0000 0.5000 0.5000
I2 0.5000 0.0000 0.5000
O1 0.5000 0.5000 0.0000